Record 1
# Tm2AgIr

Crystalline Tm2AgIr at its relaxed geometry (PBE-GGA, the Alexandria database).

abc: 4.032 4.032 7.404
angles: 74.20 74.20 60.00
Positions (direct):
1 Tm 0.765 0.765 0.706
2 Ir 0.500 0.500 0.500
3 Ag 0.000 0.000 0.000
4 Tm 0.235 0.235 0.294

Computed properties:
- DFT total energy (eV per formula unit) = -22.583
- crystal system = trigonal
- ΔH_f (0 K) (eV/atom) = -0.482
- energy above the lowest structure with this stoichiometry (kJ/mol of atoms) = 17.8



Record 2
# Mg2TcNi

Crystalline Mg2TcNi at its relaxed geometry (PBE-GGA, the Alexandria database).

abc: 7.069 7.069 5.647
angles: 51.25 51.25 90.00
Site moments in Bohr magnetons follow the coordinates.
Positions (direct):
1 Ni 0.500 0.500 0.000  0.46
2 Tc 0.750 0.250 0.500  1.27
3 Mg 0.596 0.125 0.250  -0.01
4 Ni 0.250 0.750 0.500  0.46
5 Mg 0.875 0.846 0.750  -0.01
6 Mg 0.375 0.404 0.750  -0.01
7 Mg 0.154 0.625 0.250  -0.01
8 Tc 0.000 0.000 0.000  1.27

Computed properties:
- DFT total energy (eV per formula unit) = -17.086
- crystal system = tetragonal
- ΔH_f (0 K) (eV/atom) = 0.563
- energy above the lowest structure with this stoichiometry (kJ/mol of atoms) = 47.9